## NaMn2O (PBE+U)

Data for a relaxed NaMn2O crystal.

## Properties
density of states at the Fermi level = 0.562 states/eV per atom
calculated total energy = -44.9 eV for the cell shown
crystal system = tetragonal
polymorph energy (0 for the lowest one) = 0 meV per atom
space group = I4_1/amd, No. 141

a = 6.5183 Å, b = 6.5183 Å, c = 6.5755 Å
α = 60.29°, β = 60.29°, γ = 90.00°
Each line ends with the local moment (μB).
Positions (direct):
1 Na 0.0000 0.0000 0.0000  -0.01
2 Na 0.7500 0.2500 0.5000  -0.01
3 Mn 0.3753 0.1250 0.2500  4.43
4 Mn 0.3747 0.6250 0.2500  4.44
5 Mn 0.3750 0.6247 0.7500  4.45
6 Mn 0.8750 0.6253 0.7500  4.42
7 O 0.5000 0.5000 0.0000  -0.01
8 O 0.2500 0.7500 0.5000  -0.01